An optimized crystal structure of KRhSe2, computed with PBE.

abc: 3.609 6.311 9.405
angles: 71.31 78.96 89.98
Sites, in units of the cell vectors:
K 0.078 0.325 0.343
K 0.922 0.675 0.657
Rh 0.187 0.894 0.127
Rh 0.813 0.106 0.873
Se 0.263 0.293 0.974
Se 0.411 0.133 0.676
Se 0.589 0.867 0.324
Se 0.737 0.707 0.026

Calculated values
* E_tot: -4.4757 eV per atom
* space group: P-1 (2)
* formation energy without anion corrections: -621.2 meV/atom